UCdMo4O16 PBE with a Hubbard U optimized geometry; crystal system = monoclinic; total magnetization = 0.0 Bohr magnetons per cell; mass density = 5.090 Mg/m³; total energy = -319.64 eV per cell
1.0
8.2519 0.0000 0.0000
0.0000 6.7178 0.0000
-8.1937 0.0000 11.6544
U Cd Mo O
2 2 8 32
direct
0.0000 0.2002 0.2500 U
0.0000 0.7998 0.7500 U
0.5000 0.1974 0.2500 Cd
0.5000 0.8026 0.7500 Cd
0.1998 0.3312 0.9075 Mo
0.1998 0.6688 0.4075 Mo
0.3036 0.3292 0.5963 Mo
0.3036 0.6708 0.0963 Mo
0.6964 0.3292 0.9037 Mo
0.6964 0.6708 0.4037 Mo
0.8002 0.3312 0.5925 Mo
0.8002 0.6688 0.0925 Mo
0.0000 0.4419 0.7500 O
0.0000 0.5581 0.2500 O
0.0927 0.3461 0.5972 O
0.0927 0.6539 0.0972 O
0.1270 0.0750 0.8713 O
0.1270 0.9250 0.3713 O
0.1840 0.3494 0.4325 O
0.1840 0.6506 0.9325 O
0.2218 0.1991 0.2488 O
0.2218 0.8009 0.7488 O
0.3149 0.3508 0.0636 O
0.3149 0.6492 0.5636 O
0.3667 0.0773 0.6252 O
0.3667 0.9227 0.1252 O
0.4066 0.3434 0.9028 O
0.4066 0.6566 0.4028 O
0.5000 0.4364 0.7500 O
0.5000 0.5636 0.2500 O
0.5934 0.3434 0.5972 O
0.5934 0.6566 0.0972 O
0.6333 0.0773 0.8748 O
0.6333 0.9227 0.3748 O
0.6851 0.3508 0.4364 O
0.6851 0.6492 0.9364 O
0.7782 0.1991 0.2512 O
0.7782 0.8009 0.7512 O
0.8160 0.3494 0.0675 O
0.8160 0.6506 0.5675 O
0.8730 0.0750 0.6287 O
0.8730 0.9250 0.1287 O
0.9073 0.3461 0.9028 O
0.9073 0.6539 0.4028 O